Compound: Ba3NiSb2O9
Source: Alexandria
Functional: PBE+U
Structure: optimized geometry Values from VASP.

Computed properties:
Space group: No. 194
ΔE to the lowest computed polymorph, eV per atom: 0.0000
Fermi-level density of states, states/eV/atom: 0.00
Calculated volume, Å³/atom: 14.810
E, eV/atom: -6.115
Crystal system: hexagonal

The structure in Quantum ESPRESSO input format:
```
&SYSTEM
  ibrav = 0, nat = 30, ntyp = 4
/
ATOMIC_SPECIES
Ba 137.33 Ba.upf
Ni 58.69 Ni.upf
Sb 121.76 Sb.upf
O 16.00 O.upf
CELL_PARAMETERS angstrom
5.920 0.000 0.000
-2.960 5.127 0.000
0.000 0.000 14.640
ATOMIC_POSITIONS angstrom
Ba 0.000 0.000 3.660
Ba 0.000 0.000 10.980
Ba 0.000 3.418 1.268
Ba 0.000 3.418 6.052
Ba 2.960 1.709 8.588
Ba 2.960 1.709 13.372
Ni 0.000 0.000 0.000
Ni 0.000 0.000 7.320
Sb 0.000 3.418 9.540
Sb 0.000 3.418 12.420
Sb 2.960 1.709 2.220
Sb 2.960 1.709 5.100
O -1.319 2.656 10.980
O 0.000 1.730 8.547
O 0.000 1.730 13.414
O -1.462 4.262 8.547
O -1.462 4.262 13.414
O 1.498 0.865 1.226
O 1.498 0.865 6.094
O 1.319 2.656 10.980
O 0.000 4.941 10.980
O 2.960 0.185 3.660
O 1.640 2.471 3.660
O 1.462 4.262 8.547
O 1.462 4.262 13.414
O 4.422 0.865 1.226
O 4.422 0.865 6.094
O 2.960 3.397 1.226
O 2.960 3.397 6.094
O 4.279 2.471 3.660
```